1.
Compound: Rh2SeS
Source: the Alexandria database
Functional: GGA-PBE
Structure: optimized geometry

Computed properties:
Energy relative to the lowest polymorph listed for this composition   0.220 eV/atom
Uncorrected formation energy   0.02 eV per atom

```
data_Rh2SeS
_symmetry_space_group_name_H-M 'R -3 m'
_symmetry_Int_Tables_number 166
_symmetry_space_group_name_Hall '-R 3 2"'
_cell_length_a 3.8564
_cell_length_b 3.8564
_cell_length_c 18.9824
_cell_angle_alpha 90.00
_cell_angle_beta 90.00
_cell_angle_gamma 120.00
loop_
_atom_site_label
_atom_site_type_symbol
_atom_site_fract_x
_atom_site_fract_y
_atom_site_fract_z
Rh1 Rh 0.0000 0.0000 0.1246
Se1 Se 0.0000 0.0000 0.0000
S1 S 0.0000 0.0000 0.5000
```


2.
Compound: CsBi3Br
Source: the Alexandria database
Functional: GGA-PBE
Structure: optimized geometry

Computed properties:
Energy relative to the lowest polymorph listed for this composition   0.000 eV/atom
Uncorrected formation energy   0.34 eV per atom

```
data_CsBi3Br
_symmetry_space_group_name_H-M 'P m -3 m'
_symmetry_Int_Tables_number 221
_symmetry_space_group_name_Hall '-P 4 2 3'
_cell_length_a 5.967
_cell_length_b 5.967
_cell_length_c 5.967
_cell_angle_alpha 90.00
_cell_angle_beta 90.00
_cell_angle_gamma 90.00
loop_
_atom_site_label
_atom_site_type_symbol
_atom_site_fract_x
_atom_site_fract_y
_atom_site_fract_z
Cs1 Cs 0.000 0.000 0.000
Bi1 Bi 0.000 0.500 0.500
Br1 Br 0.500 0.500 0.500
```


3.
Compound: La3SmTe6
Source: the Alexandria database
Functional: GGA-PBE
Structure: optimized geometry

Computed properties:
Energy relative to the lowest polymorph listed for this composition   0.009 eV/atom
Uncorrected formation energy   -1.50 eV per atom

```
data_La3SmTe6
_symmetry_space_group_name_H-M 'P 1 21/c 1'
_symmetry_Int_Tables_number 14
_cell_length_a 7.559
_cell_length_b 8.487
_cell_length_c 13.617
_cell_angle_alpha 90.00
_cell_angle_beta 122.23
_cell_angle_gamma 90.00
loop_
_symmetry_equiv_pos_as_xyz
'x,y,z'
'-x,-y,-z'
'-x,y+1/2,-z+1/2'
'x,-y+1/2,z+1/2'
loop_
_atom_site_label
_atom_site_type_symbol
_atom_site_fract_x
_atom_site_fract_y
_atom_site_fract_z
La1 La 0.000 0.000 0.000
La2 La 0.305 0.115 0.754
Sm1 Sm 0.500 0.000 0.500
Te1 Te 0.091 0.057 0.255
Te2 Te 0.248 0.676 0.083
Te3 Te 0.419 0.180 0.078
```


4.
Compound: Sc2CrPb
Source: the Alexandria database
Functional: GGA-PBE
Structure: optimized geometry

Computed properties:
Formation energy   107 meV per atom

```
data_Sc2CrPb
_symmetry_space_group_name_H-M 'P m m 2'
_symmetry_Int_Tables_number 25
_cell_length_a 3.364
_cell_length_b 4.371
_cell_length_c 6.125
_cell_angle_alpha 90.00
_cell_angle_beta 90.00
_cell_angle_gamma 90.00
loop_
_symmetry_equiv_pos_as_xyz
'x,y,z'
'-x,-y,z'
'-x,y,z'
'x,-y,z'
loop_
_atom_site_label
_atom_site_type_symbol
_atom_site_fract_x
_atom_site_fract_y
_atom_site_fract_z
Sc1 Sc 0.000 0.000 0.000
Sc2 Sc 0.500 0.500 0.268
Cr1 Cr 0.000 0.000 0.471
Pb1 Pb 0.500 0.500 0.756
```


5.
Compound: Tl2Cd3Pb4
Source: the Alexandria database
Functional: GGA-PBE
Structure: optimized geometry

Computed properties:
Formation energy   37 meV per atom

```
data_Tl2Cd3Pb4
_symmetry_space_group_name_H-M 'C 1 2/c 1'
_symmetry_Int_Tables_number 15
_cell_length_a 16.404
_cell_length_b 11.208
_cell_length_c 5.779
_cell_angle_alpha 90.00
_cell_angle_beta 94.94
_cell_angle_gamma 90.00
loop_
_symmetry_equiv_pos_as_xyz
'x,y,z'
'-x,-y,-z'
'-x,y,-z+1/2'
'x,-y,z+1/2'
'x+1/2,y+1/2,z'
'-x+1/2,-y+1/2,-z'
'-x+1/2,y+1/2,-z+1/2'
'x+1/2,-y+1/2,z+1/2'
loop_
_atom_site_label
_atom_site_type_symbol
_atom_site_fract_x
_atom_site_fract_y
_atom_site_fract_z
Tl1 Tl 0.246 0.097 0.063
Cd1 Cd 0.000 0.002 0.750
Cd2 Cd 0.091 0.448 0.524
Pb1 Pb 0.060 0.264 0.016
Pb2 Pb 0.151 0.176 0.538
```


6.
Compound: HoAgSnIr
Source: the Alexandria database
Functional: GGA-PBE
Structure: optimized geometry

Computed properties:
Formation energy   -438 meV per atom

```
data_HoAgSnIr
_symmetry_space_group_name_H-M 'F -4 3 m'
_symmetry_Int_Tables_number 216
_symmetry_space_group_name_Hall 'F -4 2 3'
_cell_length_a 6.818
_cell_length_b 6.818
_cell_length_c 6.818
_cell_angle_alpha 90.00
_cell_angle_beta 90.00
_cell_angle_gamma 90.00
loop_
_atom_site_label
_atom_site_type_symbol
_atom_site_fract_x
_atom_site_fract_y
_atom_site_fract_z
Ho1 Ho 0.000 0.000 0.000
Ag1 Ag 0.250 0.250 0.750
Sn1 Sn 0.000 0.000 0.500
Ir1 Ir 0.250 0.250 0.250
```


7.
Compound: BeIrI2
Source: the Alexandria database
Functional: GGA-PBE
Structure: optimized geometry

Computed properties:
Energy relative to the lowest polymorph listed for this composition   0.000 eV/atom
Uncorrected formation energy   0.65 eV per atom

```
data_BeIrI2
_symmetry_space_group_name_H-M 'I -4 2 d'
_symmetry_Int_Tables_number 122
_symmetry_space_group_name_Hall 'I -4 2bw'
_cell_length_a 5.884
_cell_length_b 5.884
_cell_length_c 11.575
_cell_angle_alpha 90.00
_cell_angle_beta 90.00
_cell_angle_gamma 90.00
loop_
_atom_site_label
_atom_site_type_symbol
_atom_site_fract_x
_atom_site_fract_y
_atom_site_fract_z
Be1 Be 0.000 0.000 0.000
Ir1 Ir 0.000 0.000 0.500
I1 I 0.230 0.250 0.125
```


8.
Compound: CaCd5Pd6
Source: the Alexandria database
Functional: GGA-PBE
Structure: optimized geometry

Computed properties:
Formation energy   -451 meV per atom

```
data_CaCd5Pd6
_symmetry_space_group_name_H-M 'P 1 2/m 1'
_symmetry_Int_Tables_number 10
_cell_length_a 4.713
_cell_length_b 6.556
_cell_length_c 7.186
_cell_angle_alpha 90.00
_cell_angle_beta 102.10
_cell_angle_gamma 90.00
loop_
_symmetry_equiv_pos_as_xyz
'x,y,z'
'-x,-y,-z'
'-x,y,-z'
'x,-y,z'
loop_
_atom_site_label
_atom_site_type_symbol
_atom_site_fract_x
_atom_site_fract_y
_atom_site_fract_z
Ca1 Ca 0.000 0.000 0.000
Cd1 Cd 0.000 0.500 0.000
Cd2 Cd 0.341 0.500 0.670
Cd3 Cd 0.345 0.000 0.667
Pd1 Pd 0.162 0.256 0.341
Pd2 Pd 0.500 0.260 0.000
```


9.
Compound: DyY2Sc3Bi6
Source: the Alexandria database
Functional: GGA-PBE
Structure: optimized geometry

Computed properties:
Formation energy   -768 meV per atom

```
data_DyY2Sc3Bi6
_symmetry_space_group_name_H-M 'C 1 2/m 1'
_symmetry_Int_Tables_number 12
_cell_length_a 7.579
_cell_length_b 13.133
_cell_length_c 7.569
_cell_angle_alpha 90.00
_cell_angle_beta 109.49
_cell_angle_gamma 90.00
loop_
_symmetry_equiv_pos_as_xyz
'x,y,z'
'-x,-y,-z'
'-x,y,-z'
'x,-y,z'
'x+1/2,y+1/2,z'
'-x+1/2,-y+1/2,-z'
'-x+1/2,y+1/2,-z'
'x+1/2,-y+1/2,z'
loop_
_atom_site_label
_atom_site_type_symbol
_atom_site_fract_x
_atom_site_fract_y
_atom_site_fract_z
Dy1 Dy 0.000 0.000 0.000
Y1 Y 0.000 0.333 0.000
Sc1 Sc 0.000 0.167 0.500
Sc2 Sc 0.000 0.500 0.500
Bi1 Bi 0.244 0.000 0.735
Bi2 Bi 0.245 0.334 0.735
```


10.
Compound: ErZrCo
Source: the Alexandria database
Functional: GGA-PBE
Structure: optimized geometry

Computed properties:
Energy relative to the lowest polymorph listed for this composition   0.000 eV/atom
Formation energy   -171 meV per atom

```
data_ErZrCo
_symmetry_space_group_name_H-M 'P 1 21/m 1'
_symmetry_Int_Tables_number 11
_cell_length_a 5.338
_cell_length_b 4.295
_cell_length_c 5.799
_cell_angle_alpha 90.00
_cell_angle_beta 104.51
_cell_angle_gamma 90.00
loop_
_symmetry_equiv_pos_as_xyz
'x,y,z'
'-x,-y,-z'
'-x,y+1/2,-z'
'x,-y+1/2,z'
loop_
_atom_site_label
_atom_site_type_symbol
_atom_site_fract_x
_atom_site_fract_y
_atom_site_fract_z
Er1 Er 0.074 0.250 0.277
Zr1 Zr 0.461 0.250 0.813
Co1 Co 0.377 0.750 0.573
```


11.
Compound: MgInRe2Ge
Source: the Alexandria database
Functional: GGA-PBE
Structure: optimized geometry

Computed properties:
Formation energy   1386 meV per atom

```
data_MgInRe2Ge
_symmetry_space_group_name_H-M 'P 4/m m m'
_symmetry_Int_Tables_number 123
_symmetry_space_group_name_Hall '-P 4 2'
_cell_length_a 4.637
_cell_length_b 4.637
_cell_length_c 4.991
_cell_angle_alpha 90.00
_cell_angle_beta 90.00
_cell_angle_gamma 90.00
loop_
_atom_site_label
_atom_site_type_symbol
_atom_site_fract_x
_atom_site_fract_y
_atom_site_fract_z
Mg1 Mg 0.000 0.000 0.000
In1 In 0.500 0.500 0.000
Re1 Re 0.000 0.500 0.500
Ge1 Ge 0.500 0.500 0.500
```


no.,total DFT energy (no corrections) (eV/atom),spin magnetization (Bohr magnetons per cell)
1,-5.56,0.00
2,-2.50,0.00
3,-5.33,0.00
4,-6.39,3.66
5,-2.44,0.00
6,-5.51,0.00
7,-3.27,0.00
8,-3.60,0.00
9,-5.75,0.00
10,-6.91,0.00
11,-5.38,2.29